5
Lattice="4.9688 0.0000 0.0000 0.0000 4.9688 0.0000 0.0000 0.0000 5.2902" Properties=species:S:1:pos:R:3 comment="AgPtSe2Br GGA-PBE optimized geometry" total_energy_ev_per_atom=-3.12 e_form_raw_mev_per_atom=382 pbc="T T T"
Ag 0.0000 0.0000 0.0000
Pt 2.4844 2.4844 2.6451
Se 0.0000 2.4844 2.6451
Se 2.4844 0.0000 2.6451
Br 2.4844 2.4844 0.0000

***

12
Lattice="0.0000 4.5471 5.2878 4.5427 0.0000 5.2878 4.5427 4.5471 0.0000" Properties=species:S:1:pos:R:3 comment="HfAl4Rh GGA-PBE optimized geometry" total_energy_ev_per_atom=-5.73 e_form_ev_per_atom=-0.35 pbc="T T T"
Hf 2.2714 2.2735 0.0000
Hf 2.2714 2.2735 5.2878
Al 4.5427 7.7265 6.8754
Al 4.5427 1.3676 3.7002
Al 5.9117 4.5471 3.7033
Al 4.5427 1.3676 6.8754
Al 5.9117 4.5471 6.8723
Al 3.1737 4.5471 3.7033
Al 4.5427 7.7265 3.7002
Al 3.1737 4.5471 6.8723
Rh 2.2714 2.2735 2.6439
Rh 6.8141 6.8206 7.9317

***

9
Lattice="4.5725 -2.6448 0.0000 4.5725 2.6448 0.0000 -3.4143 0.0000 5.2125" Properties=species:S:1:pos:R:3 comment="LiPr2F6 GGA-PBE optimized geometry" total_energy_ev_per_atom=-6.01 e_form_raw_mev_per_atom=-3488 pbc="T T T"
Li 0.0000 0.0000 0.0000
Pr -0.3012 0.0000 3.9038
Pr 6.0319 0.0000 1.3087
F 3.4040 1.3120 0.6906
F 0.9775 0.0000 1.9046
F 2.3267 1.3120 4.5219
F 3.4040 -1.3120 0.6906
F 4.7533 0.0000 3.3078
F 2.3267 -1.3120 4.5219

***

8
Lattice="2.3616 1.3635 7.7232 -2.3616 1.3635 7.7232 0.0000 -2.7270 7.7232" Properties=species:S:1:pos:R:3 comment="ErSc2CdPd4 GGA-PBE optimized geometry" total_energy_ev_per_atom=-5.67 e_form_ev_per_atom=-0.80 pbc="T T T"
Er 0.0000 0.0000 0.0000
Sc 0.0000 0.0000 5.6583
Sc 0.0000 0.0000 17.5113
Cd 0.0000 0.0000 11.5848
Pd 0.0000 0.0000 2.8258
Pd 0.0000 0.0000 8.6652
Pd 0.0000 0.0000 14.5043
Pd 0.0000 0.0000 20.3438

***

5
Lattice="3.9943 0.0000 0.0000 0.0000 3.9943 0.0000 0.0000 0.0000 5.3246" Properties=species:S:1:pos:R:3 comment="TaBiPO2 GGA-PBE optimized geometry" total_energy_ev_per_atom=-7.48 e_form_raw_mev_per_atom=-1268 pbc="T T T"
Ta 0.0000 0.0000 0.0000
Bi 1.9971 1.9971 2.6623
P 0.0000 0.0000 2.6623
O 0.0000 1.9971 0.0000
O 1.9971 0.0000 0.0000

***

4
Lattice="2.2369 1.2915 5.4180 -2.2369 1.2915 5.4180 0.0000 -2.5829 5.4180" Properties=species:S:1:pos:R:3 comment="YMnSn2 GGA-PBE optimized geometry" total_energy_ev_per_atom=-6.19 e_form_ev_per_atom=-0.28 pbc="T T T"
Y 0.0000 0.0000 0.0000
Mn 0.0000 0.0000 8.1270
Sn 0.0000 0.0000 3.6956
Sn 0.0000 0.0000 12.5583

***

5
Lattice="5.3534 0.0000 0.0000 0.0000 5.3534 0.0000 0.0000 0.0000 5.3534" Properties=species:S:1:pos:R:3 comment="YCdCl3 GGA-PBE optimized geometry" total_energy_ev_per_atom=-4.17 e_form_raw_mev_per_atom=-1582 pbc="T T T"
Y 0.0000 0.0000 0.0000
Cd 2.6767 2.6767 2.6767
Cl 0.0000 0.0000 2.6767
Cl 0.0000 2.6767 0.0000
Cl 2.6767 0.0000 0.0000

***

5
Lattice="5.2252 0.0000 0.0000 0.0000 5.2252 0.0000 0.0000 0.0000 5.1379" Properties=species:S:1:pos:R:3 comment="InOsAuSe2 GGA-PBE optimized geometry" total_energy_ev_per_atom=-3.23 e_form_raw_mev_per_atom=1613 pbc="T T T"
In 0.0000 0.0000 0.0000
Os 2.6126 2.6126 2.5690
Au 0.0000 0.0000 2.5690
Se 0.0000 2.6126 0.0000
Se 2.6126 0.0000 0.0000